# Rb8Pd3O8 (PBE, relaxed)
data_Rb8Pd3O8
_cell_length_a 20.590
_cell_length_b 5.788
_cell_length_c 8.373
_cell_angle_alpha 90.00
_cell_angle_beta 106.61
_cell_angle_gamma 90.00
_symmetry_space_group_name_H-M 'C 1 2/m 1'
_symmetry_Int_Tables_number 12
_symmetry_space_group_name_Hall '-C 2y'
loop_
_atom_site_label
_atom_site_type_symbol
_atom_site_fract_x
_atom_site_fract_y
_atom_site_fract_z
Rb1 Rb 0.029 0.000 0.243
Rb2 Rb 0.105 0.500 0.949
Rb3 Rb 0.169 0.500 0.446
Rb4 Rb 0.185 0.000 0.757
Pd1 Pd 0.000 0.500 0.500
Pd2 Pd 0.193 0.000 0.188
O1 O 0.022 0.500 0.296
O2 O 0.108 0.000 0.012
O3 O 0.177 0.000 0.402
O4 O 0.212 0.500 0.796
# Formation energy (no corrections): -918 meV per atom
# Theoretical density: 3.93 g/cm3

# Rb3PdO3 (PBE, relaxed)
data_Rb3PdO3
_cell_length_a 11.0570
_cell_length_b 11.0570
_cell_length_c 5.1366
_cell_angle_alpha 90.00
_cell_angle_beta 90.00
_cell_angle_gamma 120.00
_symmetry_space_group_name_H-M 'R 3 m'
_symmetry_Int_Tables_number 160
_symmetry_space_group_name_Hall 'R 3 -2"'
loop_
_atom_site_label
_atom_site_type_symbol
_atom_site_fract_x
_atom_site_fract_y
_atom_site_fract_z
Rb1 Rb 0.1754 0.3508 0.0000
Pd1 Pd 0.0000 0.0000 0.8272
O1 O 0.2021 0.1011 0.8416
# Formation energy (no corrections): -828 meV per atom
# Theoretical density: 3.76 g/cm3

# RbPd2O4 (PBE, relaxed)
data_RbPd2O4
_cell_length_a 6.743
_cell_length_b 6.743
_cell_length_c 10.212
_cell_angle_alpha 90.00
_cell_angle_beta 90.00
_cell_angle_gamma 90.00
_symmetry_space_group_name_H-M 'I 41/a'
_symmetry_Int_Tables_number 88
loop_
_symmetry_equiv_pos_as_xyz
'x,y,z'
'-x,-y,-z'
'-y+3/4,x+1/4,z+1/4'
'y+3/4,-x+1/4,-z+1/4'
'-x+1/2,-y,z+1/2'
'x+1/2,y,-z+1/2'
'y+3/4,-x+3/4,z+3/4'
'-y+3/4,x+3/4,-z+3/4'
'x+1/2,y+1/2,z+1/2'
'-x+1/2,-y+1/2,-z+1/2'
'-y+1/4,x+3/4,z+3/4'
'y+1/4,-x+3/4,-z+3/4'
'-x,-y+1/2,z'
'x,y+1/2,-z'
'y+1/4,-x+1/4,z+1/4'
'-y+1/4,x+1/4,-z+1/4'
loop_
_atom_site_label
_atom_site_type_symbol
_atom_site_fract_x
_atom_site_fract_y
_atom_site_fract_z
Rb1 Rb 0.000 0.250 0.125
Pd1 Pd 0.000 0.000 0.500
O1 O 0.152 0.012 0.663
# Formation energy (no corrections): -545 meV per atom
# Theoretical density: 5.18 g/cm3

# RbPdO (PBE, relaxed)
data_RbPdO
_cell_length_a 9.128
_cell_length_b 9.115
_cell_length_c 3.846
_cell_angle_alpha 90.00
_cell_angle_beta 90.00
_cell_angle_gamma 90.00
_symmetry_space_group_name_H-M 'P n m a'
_symmetry_Int_Tables_number 62
_symmetry_space_group_name_Hall '-P 2ac 2n'
loop_
_atom_site_label
_atom_site_type_symbol
_atom_site_fract_x
_atom_site_fract_y
_atom_site_fract_z
Rb1 Rb 0.000 0.000 0.000
Pd1 Pd 0.214 0.250 0.497
O1 O 0.214 0.250 0.997
# Formation energy (no corrections): -590 meV per atom
# Theoretical density: 4.32 g/cm3

> What is the theoretical density in the second record?

3.76 g/cm3